[1]
# Li2ReHg, optimized geometry, DFT PBE
# - Raw total energy: -3.734 eV per atom
# - DOS(E_F): 0.94 states/eV per atom
# - Formation enthalpy at 0 K: 0.4105 eV per atom
data_Li2ReHg
_chemical_formula_sum 'Li2 Re1 Hg1'
_space_group_name_H-M_alt 'P 1 m 1'
_space_group_IT_number 6
_cell_length_a 2.651
_cell_length_b 4.678
_cell_length_c 5.282
_cell_angle_alpha 90.00
_cell_angle_beta 99.11
_cell_angle_gamma 90.00
loop_
_space_group_symop_operation_xyz
'x,y,z'
'x,-y,z'
loop_
_atom_site_label
_atom_site_type_symbol
_atom_site_fract_x
_atom_site_fract_y
_atom_site_fract_z
Li1 Li 0.000 0.000 0.000
Li2 Li 0.182 0.500 0.784
Re1 Re 0.727 0.500 0.271
Hg1 Hg 0.362 0.000 0.496

[2]
# LiRe2Hg, optimized geometry, DFT PBE
# - Raw total energy: -6.236 eV per atom
# - DOS(E_F): 0.93 states/eV per atom
# - Formation enthalpy at 0 K: 0.5421 eV per atom
data_LiRe2Hg
_chemical_formula_sum 'Li1 Re2 Hg1'
_space_group_name_H-M_alt 'P 4/m m m'
_space_group_IT_number 123
_space_group_name_Hall '-P 4 2'
_cell_length_a 3.682
_cell_length_b 3.682
_cell_length_c 4.643
_cell_angle_alpha 90.00
_cell_angle_beta 90.00
_cell_angle_gamma 90.00
loop_
_atom_site_label
_atom_site_type_symbol
_atom_site_fract_x
_atom_site_fract_y
_atom_site_fract_z
Li1 Li 0.000 0.000 0.000
Re1 Re 0.000 0.500 0.500
Hg1 Hg 0.500 0.500 0.000

[3]
# Li2ReHg, optimized geometry, DFT PBE
# - Raw total energy: -3.786 eV per atom
# - DOS(E_F): 0.57 states/eV per atom
# - Formation enthalpy at 0 K: 0.3587 eV per atom
data_Li2ReHg
_chemical_formula_sum 'Li4 Re2 Hg2'
_space_group_name_H-M_alt 'C m m m'
_space_group_IT_number 65
_space_group_name_Hall '-C 2 2'
_cell_length_a 5.670
_cell_length_b 8.606
_cell_length_c 2.616
_cell_angle_alpha 90.00
_cell_angle_beta 90.00
_cell_angle_gamma 90.00
loop_
_atom_site_label
_atom_site_type_symbol
_atom_site_fract_x
_atom_site_fract_y
_atom_site_fract_z
Li1 Li 0.250 0.250 0.000
Re1 Re 0.000 0.000 0.500
Hg1 Hg 0.000 0.500 0.500

[4]
# Li2ReHg, optimized geometry, DFT PBE
# - Raw total energy: -3.554 eV per atom
# - DOS(E_F): 0.51 states/eV per atom
# - Formation enthalpy at 0 K: 0.5903 eV per atom
data_Li2ReHg
_chemical_formula_sum 'Li4 Re2 Hg2'
_space_group_name_H-M_alt 'I 4/m m m'
_space_group_IT_number 139
_space_group_name_Hall '-I 4 2'
_cell_length_a 3.899
_cell_length_b 3.899
_cell_length_c 8.583
_cell_angle_alpha 90.00
_cell_angle_beta 90.00
_cell_angle_gamma 90.00
loop_
_atom_site_label
_atom_site_type_symbol
_atom_site_fract_x
_atom_site_fract_y
_atom_site_fract_z
Li1 Li 0.000 0.500 0.250
Re1 Re 0.000 0.000 0.000
Hg1 Hg 0.000 0.000 0.500

[5]
# LiReHg2, optimized geometry, DFT PBE
# - Raw total energy: -3.339 eV per atom
# - DOS(E_F): 0.22 states/eV per atom
# - Formation enthalpy at 0 K: 0.4019 eV per atom
# - Excess energy over the best structure of this formula in the dataset: 78 meV per atom
data_LiReHg2
_chemical_formula_sum 'Li2 Re2 Hg4'
_space_group_name_H-M_alt 'C 1 m 1'
_space_group_IT_number 8
_cell_length_a 10.533
_cell_length_b 2.856
_cell_length_c 5.038
_cell_angle_alpha 90.00
_cell_angle_beta 109.19
_cell_angle_gamma 90.00
loop_
_space_group_symop_operation_xyz
'x,y,z'
'x,-y,z'
'x+1/2,y+1/2,z'
'x+1/2,-y+1/2,z'
loop_
_atom_site_label
_atom_site_type_symbol
_atom_site_fract_x
_atom_site_fract_y
_atom_site_fract_z
Li1 Li 0.000 0.000 0.000
Re1 Re 0.241 0.500 0.412
Hg1 Hg 0.246 0.000 0.912
Hg2 Hg 0.487 0.000 0.471

[6]
# LiReHg2, optimized geometry, DFT PBE
# - Raw total energy: -3.227 eV per atom
# - DOS(E_F): 0.92 states/eV per atom
# - Formation enthalpy at 0 K: 0.5148 eV per atom
# - Excess energy over the best structure of this formula in the dataset: 191 meV per atom
data_LiReHg2
_chemical_formula_sum 'Li1 Re1 Hg2'
_space_group_name_H-M_alt 'P m m 2'
_space_group_IT_number 25
_cell_length_a 2.859
_cell_length_b 4.702
_cell_length_c 5.592
_cell_angle_alpha 90.00
_cell_angle_beta 90.00
_cell_angle_gamma 90.00
loop_
_space_group_symop_operation_xyz
'x,y,z'
'-x,-y,z'
'-x,y,z'
'x,-y,z'
loop_
_atom_site_label
_atom_site_type_symbol
_atom_site_fract_x
_atom_site_fract_y
_atom_site_fract_z
Li1 Li 0.000 0.000 0.000
Re1 Re 0.500 0.500 0.330
Hg1 Hg 0.000 0.000 0.457
Hg2 Hg 0.500 0.500 0.835

[7]
# Li2ReHg, optimized geometry, DFT PBE
# - Raw total energy: -3.545 eV per atom
# - DOS(E_F): 0.34 states/eV per atom
# - Formation enthalpy at 0 K: 0.5997 eV per atom
data_Li2ReHg
_chemical_formula_sum 'Li8 Re4 Hg4'
_space_group_name_H-M_alt 'F -4 3 m'
_space_group_IT_number 216
_space_group_name_Hall 'F -4 2 3'
_cell_length_a 6.431
_cell_length_b 6.431
_cell_length_c 6.431
_cell_angle_alpha 90.00
_cell_angle_beta 90.00
_cell_angle_gamma 90.00
loop_
_atom_site_label
_atom_site_type_symbol
_atom_site_fract_x
_atom_site_fract_y
_atom_site_fract_z
Li1 Li 0.000 0.000 0.000
Li2 Li 0.250 0.250 0.250
Re1 Re 0.250 0.250 0.750
Hg1 Hg 0.000 0.000 0.500

[8]
# LiReHg2, optimized geometry, DFT PBE
# - Raw total energy: -3.304 eV per atom
# - DOS(E_F): 0.20 states/eV per atom
# - Formation enthalpy at 0 K: 0.4378 eV per atom
# - Excess energy over the best structure of this formula in the dataset: 114 meV per atom
data_LiReHg2
_chemical_formula_sum 'Li2 Re2 Hg4'
_space_group_name_H-M_alt 'C m m 2'
_space_group_IT_number 35
_cell_length_a 3.324
_cell_length_b 4.485
_cell_length_c 9.867
_cell_angle_alpha 90.00
_cell_angle_beta 90.00
_cell_angle_gamma 90.00
loop_
_space_group_symop_operation_xyz
'x,y,z'
'-x,-y,z'
'-x,y,z'
'x,-y,z'
'x+1/2,y+1/2,z'
'-x+1/2,-y+1/2,z'
'-x+1/2,y+1/2,z'
'x+1/2,-y+1/2,z'
loop_
_atom_site_label
_atom_site_type_symbol
_atom_site_fract_x
_atom_site_fract_y
_atom_site_fract_z
Li1 Li 0.000 0.000 0.000
Re1 Re 0.000 0.500 0.215
Hg1 Hg 0.000 0.000 0.463
Hg2 Hg 0.000 0.500 0.765

[9]
# LiRe2Hg, optimized geometry, DFT PBE
# - Raw total energy: -6.092 eV per atom
# - DOS(E_F): 0.95 states/eV per atom
# - Formation enthalpy at 0 K: 0.6861 eV per atom
data_LiRe2Hg
_chemical_formula_sum 'Li2 Re4 Hg2'
_space_group_name_H-M_alt 'C m m m'
_space_group_IT_number 65
_space_group_name_Hall '-C 2 2'
_cell_length_a 5.114
_cell_length_b 9.394
_cell_length_c 2.688
_cell_angle_alpha 90.00
_cell_angle_beta 90.00
_cell_angle_gamma 90.00
loop_
_atom_site_label
_atom_site_type_symbol
_atom_site_fract_x
_atom_site_fract_y
_atom_site_fract_z
Li1 Li 0.000 0.000 0.000
Re1 Re 0.250 0.250 0.500
Hg1 Hg 0.000 0.500 0.000

[10]
# LiReHg3, optimized geometry, DFT PBE
# - Raw total energy: -1.910 eV per atom
# - DOS(E_F): 0.56 states/eV per atom
# - Formation enthalpy at 0 K: 1.1434 eV per atom
# - Excess energy over the best structure of this formula in the dataset: 429 meV per atom
data_LiReHg3
_chemical_formula_sum 'Li1 Re1 Hg3'
_space_group_name_H-M_alt 'P m -3 m'
_space_group_IT_number 221
_space_group_name_Hall '-P 4 2 3'
_cell_length_a 4.766
_cell_length_b 4.766
_cell_length_c 4.766
_cell_angle_alpha 90.00
_cell_angle_beta 90.00
_cell_angle_gamma 90.00
loop_
_atom_site_label
_atom_site_type_symbol
_atom_site_fract_x
_atom_site_fract_y
_atom_site_fract_z
Li1 Li 0.000 0.000 0.000
Re1 Re 0.500 0.500 0.500
Hg1 Hg 0.000 0.000 0.500

[11]
# LiReSi2Hg, optimized geometry, DFT PBE
# - Raw total energy: -4.650 eV per atom
# - DOS(E_F): 0.16 states/eV per atom
# - Energy relative to the elements, uncorrected: 0.452 eV/atom
data_LiReSi2Hg
_chemical_formula_sum 'Li1 Re1 Si2 Hg1'
_space_group_name_H-M_alt 'P 4/m m m'
_space_group_IT_number 123
_space_group_name_Hall '-P 4 2'
_cell_length_a 4.635
_cell_length_b 4.635
_cell_length_c 5.198
_cell_angle_alpha 90.00
_cell_angle_beta 90.00
_cell_angle_gamma 90.00
loop_
_atom_site_label
_atom_site_type_symbol
_atom_site_fract_x
_atom_site_fract_y
_atom_site_fract_z
Li1 Li 0.000 0.000 0.000
Re1 Re 0.000 0.000 0.500
Si1 Si 0.000 0.500 0.500
Hg1 Hg 0.500 0.500 0.000

[12]
# Li2ReSnHg, optimized geometry, DFT PBE
# - Raw total energy: -3.018 eV per atom
# - DOS(E_F): 0.50 states/eV per atom
# - Formation enthalpy at 0 K: 1.0985 eV per atom
data_Li2ReSnHg
_chemical_formula_sum 'Li2 Re1 Sn1 Hg1'
_space_group_name_H-M_alt 'P 4/m m m'
_space_group_IT_number 123
_space_group_name_Hall '-P 4 2'
_cell_length_a 4.536
_cell_length_b 4.536
_cell_length_c 5.484
_cell_angle_alpha 90.00
_cell_angle_beta 90.00
_cell_angle_gamma 90.00
loop_
_atom_site_label
_atom_site_type_symbol
_atom_site_fract_x
_atom_site_fract_y
_atom_site_fract_z
Li1 Li 0.000 0.500 0.000
Re1 Re 0.000 0.000 0.500
Sn1 Sn 0.500 0.500 0.500
Hg1 Hg 0.500 0.500 0.000

[13]
# LiRe2HgTe, optimized geometry, DFT PBE
# - Raw total energy: -4.466 eV per atom
# - DOS(E_F): 1.25 states/eV per atom
# - Energy relative to the elements, uncorrected: 1.585 eV/atom
data_LiRe2HgTe
_chemical_formula_sum 'Li1 Re2 Hg1 Te1'
_space_group_name_H-M_alt 'P 4/m m m'
_space_group_IT_number 123
_space_group_name_Hall '-P 4 2'
_cell_length_a 4.513
_cell_length_b 4.513
_cell_length_c 4.286
_cell_angle_alpha 90.00
_cell_angle_beta 90.00
_cell_angle_gamma 90.00
loop_
_atom_site_label
_atom_site_type_symbol
_atom_site_fract_x
_atom_site_fract_y
_atom_site_fract_z
Li1 Li 0.000 0.000 0.000
Re1 Re 0.000 0.500 0.000
Hg1 Hg 0.000 0.000 0.500
Te1 Te 0.500 0.500 0.500

[14]
# LiHgRh2, optimized geometry, DFT PBE
# - Raw total energy: -4.244 eV per atom
# - DOS(E_F): 1.24 states/eV per atom
# - Formation enthalpy at 0 K: -0.0148 eV per atom
data_LiHgRh2
_chemical_formula_sum 'Li1 Hg1 Rh2'
_space_group_name_H-M_alt 'P m m m'
_space_group_IT_number 47
_cell_length_a 2.911
_cell_length_b 4.594
_cell_length_c 4.638
_cell_angle_alpha 90.00
_cell_angle_beta 90.00
_cell_angle_gamma 90.00
loop_
_space_group_symop_operation_xyz
'x,y,z'
'-x,-y,-z'
'-x,-y,z'
'x,y,-z'
'x,-y,-z'
'-x,y,z'
'-x,y,-z'
'x,-y,z'
loop_
_atom_site_label
_atom_site_type_symbol
_atom_site_fract_x
_atom_site_fract_y
_atom_site_fract_z
Li1 Li 0.000 0.000 0.000
Hg1 Hg 0.500 0.500 0.000
Rh1 Rh 0.000 0.500 0.500
Rh2 Rh 0.500 0.000 0.500

[15]
# Li4Hg3Rh, optimized geometry, DFT PBE
# - Raw total energy: -2.274 eV per atom
# - DOS(E_F): 0.26 states/eV per atom
# - Formation enthalpy at 0 K: -0.2845 eV per atom
data_Li4Hg3Rh
_chemical_formula_sum 'Li8 Hg6 Rh2'
_space_group_name_H-M_alt 'C 1 2/m 1'
_space_group_IT_number 12
_cell_length_a 6.178
_cell_length_b 6.174
_cell_length_c 7.527
_cell_angle_alpha 90.00
_cell_angle_beta 114.14
_cell_angle_gamma 90.00
loop_
_space_group_symop_operation_xyz
'x,y,z'
'-x,-y,-z'
'-x,y,-z'
'x,-y,z'
'x+1/2,y+1/2,z'
'-x+1/2,-y+1/2,-z'
'-x+1/2,y+1/2,-z'
'x+1/2,-y+1/2,z'
loop_
_atom_site_label
_atom_site_type_symbol
_atom_site_fract_x
_atom_site_fract_y
_atom_site_fract_z
Li1 Li 0.134 0.250 0.269
Hg1 Hg 0.000 0.000 0.500
Hg2 Hg 0.237 0.500 0.973
Rh1 Rh 0.000 0.500 0.500

[16]
# Li8HgRh2, optimized geometry, DFT PBE
# - Raw total energy: -2.817 eV per atom
# - DOS(E_F): 0.28 states/eV per atom
# - Formation enthalpy at 0 K: -0.0608 eV per atom
data_Li8HgRh2
_chemical_formula_sum 'Li16 Hg2 Rh4'
_space_group_name_H-M_alt 'C 1 2/m 1'
_space_group_IT_number 12
_cell_length_a 6.983
_cell_length_b 13.413
_cell_length_c 4.598
_cell_angle_alpha 90.00
_cell_angle_beta 130.71
_cell_angle_gamma 90.00
loop_
_space_group_symop_operation_xyz
'x,y,z'
'-x,-y,-z'
'-x,y,-z'
'x,-y,z'
'x+1/2,y+1/2,z'
'-x+1/2,-y+1/2,-z'
'-x+1/2,y+1/2,-z'
'x+1/2,-y+1/2,z'
loop_
_atom_site_label
_atom_site_type_symbol
_atom_site_fract_x
_atom_site_fract_y
_atom_site_fract_z
Li1 Li 0.000 0.199 0.000
Li2 Li 0.009 0.500 0.276
Li3 Li 0.238 0.146 0.741
Hg1 Hg 0.000 0.000 0.000
Rh1 Rh 0.000 0.324 0.500

[17]
# Li2HgRh, optimized geometry, DFT PBE
# - Raw total energy: -2.854 eV per atom
# - DOS(E_F): 0.70 states/eV per atom
# - Formation enthalpy at 0 K: 0.0161 eV per atom
data_Li2HgRh
_chemical_formula_sum 'Li6 Hg3 Rh3'
_space_group_name_H-M_alt 'R 3 m'
_space_group_IT_number 160
_space_group_name_Hall 'R 3 -2"'
_cell_length_a 2.9416
_cell_length_b 2.9416
_cell_length_c 27.4694
_cell_angle_alpha 90.00
_cell_angle_beta 90.00
_cell_angle_gamma 120.00
loop_
_atom_site_label
_atom_site_type_symbol
_atom_site_fract_x
_atom_site_fract_y
_atom_site_fract_z
Li1 Li 0.0000 0.0000 0.0000
Li2 Li 0.0000 0.0000 0.2385
Hg1 Hg 0.0000 0.0000 0.4914
Rh1 Rh 0.0000 0.0000 0.7379

[18]
# Li2HgRh, optimized geometry, DFT PBE
# - Raw total energy: -3.109 eV per atom
# - DOS(E_F): 0.42 states/eV per atom
# - Formation enthalpy at 0 K: -0.2387 eV per atom
data_Li2HgRh
_chemical_formula_sum 'Li4 Hg2 Rh2'
_space_group_name_H-M_alt 'I 4/m m m'
_space_group_IT_number 139
_space_group_name_Hall '-I 4 2'
_cell_length_a 4.002
_cell_length_b 4.002
_cell_length_c 7.521
_cell_angle_alpha 90.00
_cell_angle_beta 90.00
_cell_angle_gamma 90.00
loop_
_atom_site_label
_atom_site_type_symbol
_atom_site_fract_x
_atom_site_fract_y
_atom_site_fract_z
Li1 Li 0.000 0.500 0.250
Hg1 Hg 0.000 0.000 0.000
Rh1 Rh 0.000 0.000 0.500

[19]
# LiHgRh2, optimized geometry, DFT PBE
# - Raw total energy: -4.051 eV per atom
# - DOS(E_F): 1.36 states/eV per atom
# - Formation enthalpy at 0 K: 0.1790 eV per atom
data_LiHgRh2
_chemical_formula_sum 'Li2 Hg2 Rh4'
_space_group_name_H-M_alt 'C m m m'
_space_group_IT_number 65
_space_group_name_Hall '-C 2 2'
_cell_length_a 2.947
_cell_length_b 4.760
_cell_length_c 9.008
_cell_angle_alpha 90.00
_cell_angle_beta 90.00
_cell_angle_gamma 90.00
loop_
_atom_site_label
_atom_site_type_symbol
_atom_site_fract_x
_atom_site_fract_y
_atom_site_fract_z
Li1 Li 0.000 0.000 0.000
Hg1 Hg 0.000 0.000 0.500
Rh1 Rh 0.000 0.500 0.235

[20]
# LiHgRh3, optimized geometry, DFT PBE
# - Raw total energy: -4.269 eV per atom
# - DOS(E_F): 0.90 states/eV per atom
# - Formation enthalpy at 0 K: 0.5854 eV per atom
# - Excess energy over the best structure of this formula in the dataset: 0 meV per atom
data_LiHgRh3
_chemical_formula_sum 'Li1 Hg1 Rh3'
_space_group_name_H-M_alt 'P m -3 m'
_space_group_IT_number 221
_space_group_name_Hall '-P 4 2 3'
_cell_length_a 4.220
_cell_length_b 4.220
_cell_length_c 4.220
_cell_angle_alpha 90.00
_cell_angle_beta 90.00
_cell_angle_gamma 90.00
loop_
_atom_site_label
_atom_site_type_symbol
_atom_site_fract_x
_atom_site_fract_y
_atom_site_fract_z
Li1 Li 0.000 0.000 0.000
Hg1 Hg 0.500 0.500 0.500
Rh1 Rh 0.000 0.000 0.500